! meta-GGA SCAN MnPt3, single point on PBEsol structure; values from VASP
&SYSTEM
  ibrav = 0, nat = 8, ntyp = 2
/
ATOMIC_SPECIES
Mn 54.94 Mn.upf
Pt 195.08 Pt.upf
CELL_PARAMETERS angstrom
4.506 0.000 0.000
0.000 5.455 0.000
0.000 -2.727 4.724
ATOMIC_POSITIONS crystal
Mn 0.750 0.667 0.333
Mn 0.250 0.333 0.667
Pt 0.250 0.334 0.167
Pt 0.250 0.833 0.666
Pt 0.250 0.833 0.167
Pt 0.750 0.167 0.334
Pt 0.750 0.167 0.833
Pt 0.750 0.666 0.833
! ΔH_f (0 K): -198 kJ/mol of formula units
! SG: No. 194
! E_tot: -461.8 eV per cell
! Crystal system: hexagonal